Entry 1:
A plane-wave DFT calculation with PBE was carried out for crystalline LaZn2Sn at its relaxed geometry.

Unit cell a=4.759 b=4.759 c=10.117 alpha=76.40 beta=76.40 gamma=90.00
Fractional coordinates of all 8 atoms:
Zn 0.464 0.125 0.250
Zn 0.286 0.625 0.250
Zn 0.375 0.536 0.750
Zn 0.875 0.714 0.750
Sn 0.500 0.500 0.000
Sn 0.250 0.750 0.500
La 0.000 0.000 0.000
La 0.750 0.250 0.500

Values from the calculation:
Total moment   0.0 μB/cell
Symmetry   I-42d, No. 122
Formation enthalpy at 0 K   -0.2006 eV/atom

---

Entry 2:
A plane-wave DFT calculation with PBE was carried out for crystalline LaZnSn3 at its relaxed geometry.

Unit cell a=5.251 b=5.251 c=5.251 alpha=90.00 beta=90.00 gamma=90.00
Fractional coordinates of all 5 atoms:
Zn 0.000 0.000 0.000
Sn 0.000 0.500 0.000
Sn 0.000 0.000 0.500
Sn 0.500 0.000 0.000
La 0.500 0.500 0.500

Values from the calculation:
Total moment   0.0 μB/cell
Symmetry   Pm-3m, No. 221
Formation enthalpy at 0 K   -0.0690 eV/atom

---

Entry 3:
A plane-wave DFT calculation with PBE was carried out for crystalline La8Zn2Sn at its relaxed geometry.

Unit cell a=5.067 b=8.278 c=9.477 alpha=114.21 beta=105.51 gamma=90.00
Fractional coordinates of all 11 atoms:
La 0.409 0.538 0.817
La 0.678 0.963 0.355
La 0.822 0.727 0.644
La 0.962 0.242 0.925
La 0.178 0.273 0.356
La 0.322 0.037 0.645
La 0.591 0.462 0.183
La 0.038 0.758 0.075
Zn 0.810 0.336 0.621
Zn 0.190 0.664 0.379
Sn 0.500 0.000 0.000

Values from the calculation:
Total moment   0.0 μB/cell
Symmetry   C2/m, No. 12
Formation enthalpy at 0 K   -0.2514 eV/atom

---

Entry 4:
A plane-wave DFT calculation with PBE was carried out for crystalline La4Zn2Sn at its relaxed geometry.

Unit cell a=5.323 b=5.323 c=9.126 alpha=73.04 beta=73.04 gamma=60.00
Fractional coordinates of all 7 atoms:
La 0.868 0.868 0.397
La 0.132 0.132 0.603
La 0.616 0.616 0.151
La 0.384 0.384 0.849
Zn 0.748 0.748 0.757
Zn 0.252 0.252 0.243
Sn 0.000 0.000 0.000

Values from the calculation:
Total moment   0.0 μB/cell
Symmetry   R-3m, No. 166
Formation enthalpy at 0 K   -0.3178 eV/atom

---

Entry 5:
A plane-wave DFT calculation with PBE was carried out for crystalline LaZnSn3 at its relaxed geometry.

Unit cell a=6.102 b=6.102 c=6.102 alpha=90.00 beta=90.00 gamma=90.00
Fractional coordinates of all 5 atoms:
Zn 0.500 0.500 0.500
Sn 0.000 0.500 0.000
Sn 0.000 0.000 0.500
Sn 0.500 0.000 0.000
La 0.000 0.000 0.000

Values from the calculation:
Total moment   0.0 μB/cell
Symmetry   Pm-3m, No. 221
Formation enthalpy at 0 K   0.7543 eV/atom

---

Entry 6:
A plane-wave DFT calculation with PBE was carried out for crystalline La3Zn2Sn at its relaxed geometry.

Unit cell a=5.403 b=5.403 c=13.399 alpha=90.00 beta=90.00 gamma=120.00
Fractional coordinates of all 12 atoms:
La 0.333 0.667 0.415
La 0.667 0.333 0.077
La 0.000 0.000 0.758
La 0.000 0.000 0.242
La 0.333 0.667 0.923
La 0.667 0.333 0.585
Zn 0.000 0.000 0.500
Zn 0.333 0.667 0.158
Zn 0.667 0.333 0.842
Zn 0.000 0.000 0.000
Sn 0.333 0.667 0.669
Sn 0.667 0.333 0.331

Values from the calculation:
Total moment   0.0 μB/cell
Symmetry   P-3m1, No. 164
Formation enthalpy at 0 K   -0.4667 eV/atom

---

Entry 7:
A plane-wave DFT calculation with PBE was carried out for crystalline La5ZnSn2 at its relaxed geometry.

Unit cell a=7.251 b=7.263 c=6.900 alpha=121.78 beta=121.70 gamma=90.02
Fractional coordinates of all 8 atoms:
La 0.718 0.221 0.933
La 0.230 0.226 0.960
La 0.713 0.708 0.929
La 0.228 0.735 0.956
La 0.730 0.723 0.444
Zn 0.195 0.218 0.445
Sn 0.219 0.725 0.444
Sn 0.744 0.222 0.444

Values from the calculation:
Total moment   0.0 μB/cell
Symmetry   P1, No. 1
Formation enthalpy at 0 K   -0.4691 eV/atom

---

Entry 8:
A plane-wave DFT calculation with PBE was carried out for crystalline La2Zn3Sn at its relaxed geometry.

Unit cell a=6.115 b=6.115 c=9.298 alpha=112.41 beta=112.41 gamma=80.82
Fractional coordinates of all 12 atoms:
La 0.750 0.250 0.500
La 0.759 0.241 0.000
La 0.250 0.750 0.500
La 0.241 0.759 0.000
Zn 0.835 0.835 0.160
Zn 0.675 0.675 0.840
Zn 0.165 0.165 0.840
Zn 0.325 0.325 0.160
Zn 0.162 0.162 0.324
Zn 0.838 0.838 0.676
Sn 0.665 0.665 0.331
Sn 0.335 0.335 0.669

Values from the calculation:
Total moment   0.0 μB/cell
Symmetry   Fmmm, No. 69
Formation enthalpy at 0 K   -0.5008 eV/atom

---

Entry 9:
A plane-wave DFT calculation with PBE was carried out for crystalline La2Zn2Sn3 at its relaxed geometry.

Unit cell a=4.737 b=7.205 c=10.959 alpha=90.00 beta=102.48 gamma=90.00
Fractional coordinates of all 14 atoms:
La 0.164 0.250 0.328
La 0.836 0.750 0.672
La 0.968 0.250 0.936
La 0.032 0.750 0.064
Zn 0.699 0.963 0.399
Zn 0.301 0.037 0.601
Zn 0.301 0.463 0.601
Zn 0.699 0.537 0.399
Sn 0.201 0.750 0.402
Sn 0.799 0.250 0.598
Sn 0.573 0.453 0.146
Sn 0.427 0.547 0.854
Sn 0.427 0.953 0.854
Sn 0.573 0.047 0.146

Values from the calculation:
Total moment   0.0 μB/cell
Symmetry   Cmcm, No. 63
Formation enthalpy at 0 K   -0.5428 eV/atom

---

Entry 10:
A plane-wave DFT calculation with PBE was carried out for crystalline LaZn4Sn at its relaxed geometry.

Unit cell a=5.600 b=5.600 c=5.600 alpha=60.00 beta=60.00 gamma=60.00
Fractional coordinates of all 6 atoms:
Zn 0.625 0.625 0.124
Zn 0.625 0.124 0.625
Zn 0.625 0.625 0.625
Zn 0.124 0.625 0.625
Sn 0.000 0.000 0.000
La 0.250 0.250 0.250

Values from the calculation:
Total moment   0.0 μB/cell
Symmetry   F-43m, No. 216
Formation enthalpy at 0 K   -0.1705 eV/atom

---

Entry 11:
A plane-wave DFT calculation with PBE was carried out for crystalline La2Zn2Sn at its relaxed geometry.

Unit cell a=3.725 b=3.725 c=10.139 alpha=79.42 beta=79.42 gamma=90.00
Fractional coordinates of all 5 atoms:
Zn 0.750 0.250 0.500
Zn 0.250 0.750 0.500
Sn 0.000 0.000 0.000
La 0.392 0.392 0.217
La 0.608 0.608 0.783

Values from the calculation:
Total moment   0.0 μB/cell
Symmetry   I4/mmm, No. 139
Formation enthalpy at 0 K   -0.3168 eV/atom

---

Entry 12:
A plane-wave DFT calculation with PBE was carried out for crystalline La2Zn7Sn at its relaxed geometry.

Unit cell a=4.413 b=4.413 c=10.623 alpha=90.00 beta=90.00 gamma=90.00
Fractional coordinates of all 10 atoms:
La 0.500 0.000 0.737
La 0.000 0.500 0.263
Zn 0.000 0.500 0.852
Zn 0.500 0.000 0.379
Zn 0.500 0.000 0.148
Zn 0.000 0.500 0.621
Zn 0.000 0.000 0.500
Zn 0.000 0.000 0.000
Zn 0.500 0.500 0.500
Sn 0.500 0.500 0.000

Values from the calculation:
Total moment   0.0 μB/cell
Symmetry   P-4m2, No. 115
Formation enthalpy at 0 K   -0.3712 eV/atom

---

Entry 13:
A plane-wave DFT calculation with PBE was carried out for crystalline La5Zn4Sn at its relaxed geometry.

Unit cell a=3.764 b=3.764 c=19.353 alpha=90.00 beta=90.00 gamma=90.00
Fractional coordinates of all 10 atoms:
La 0.500 0.500 0.110
La 0.500 0.500 0.306
La 0.500 0.500 0.500
La 0.500 0.500 0.694
La 0.500 0.500 0.890
Zn 0.000 0.000 0.212
Zn 0.000 0.000 0.402
Zn 0.000 0.000 0.598
Zn 0.000 0.000 0.788
Sn 0.000 0.000 0.000

Values from the calculation:
Total moment   0.0 μB/cell
Symmetry   P4/mmm, No. 123
Formation enthalpy at 0 K   -0.3957 eV/atom

---

Entry 14:
A plane-wave DFT calculation with PBE was carried out for crystalline LaZn2Sn at its relaxed geometry.

Unit cell a=4.465 b=5.864 c=4.752 alpha=128.10 beta=90.00 gamma=90.00
Fractional coordinates of all 4 atoms:
La 0.500 0.795 0.590
Zn 0.000 0.090 0.180
Zn 0.500 0.246 0.492
Sn 0.000 0.472 0.944

Values from the calculation:
Total moment   0.0 μB/cell
Symmetry   Amm2, No. 38
Formation enthalpy at 0 K   -0.2738 eV/atom

---

Entry 15:
A plane-wave DFT calculation with PBE was carried out for crystalline La3ZnSn at its relaxed geometry.

Unit cell a=5.186 b=8.842 c=6.910 alpha=87.05 beta=90.01 gamma=107.04
Fractional coordinates of all 10 atoms:
La 0.040 0.112 0.443
La 0.404 0.842 0.736
La 0.640 0.312 0.685
La 0.004 0.042 0.978
La 0.231 0.494 0.067
La 0.813 0.660 0.355
Zn 0.233 0.499 0.589
Zn 0.811 0.655 0.833
Sn 0.428 0.888 0.246
Sn 0.617 0.266 0.176

Values from the calculation:
Total moment   0.0 μB/cell
Symmetry   C2/m, No. 12
Formation enthalpy at 0 K   -0.4276 eV/atom
E above lowest polymorph   0 meV/atom

---

Entry 16:
A plane-wave DFT calculation with PBE was carried out for crystalline LaZn2Sn at its relaxed geometry.

Unit cell a=4.567 b=4.562 c=4.562 alpha=90.00 beta=90.00 gamma=90.00
Fractional coordinates of all 4 atoms:
Zn 0.000 0.000 0.500
Zn 0.000 0.500 0.000
Sn 0.500 0.000 0.000
La 0.500 0.500 0.500

Values from the calculation:
Total moment   0.0 μB/cell
Symmetry   P4/mmm, No. 123
Formation enthalpy at 0 K   -0.3548 eV/atom

---

Entry 17:
A plane-wave DFT calculation with PBE was carried out for crystalline La4Zn3Sn at its relaxed geometry.

Unit cell a=5.378 b=5.378 c=9.410 alpha=73.40 beta=73.40 gamma=60.00
Fractional coordinates of all 8 atoms:
Zn 0.248 0.248 0.257
Zn 0.752 0.752 0.743
Zn 0.500 0.500 0.500
Sn 0.000 0.000 0.000
La 0.871 0.871 0.387
La 0.378 0.378 0.865
La 0.129 0.129 0.613
La 0.622 0.622 0.135

Values from the calculation:
Total moment   0.0 μB/cell
Symmetry   R-3m, No. 166
Formation enthalpy at 0 K   -0.4280 eV/atom

---

Entry 18:
A plane-wave DFT calculation with PBE was carried out for crystalline La6Zn2Sn at its relaxed geometry.

Unit cell a=9.051 b=9.051 c=9.051 alpha=101.01 beta=113.44 gamma=114.28
Fractional coordinates of all 18 atoms:
La 0.514 0.715 0.799
La 0.486 0.285 0.201
La 0.084 0.285 0.799
La 0.916 0.715 0.201
La 0.804 0.764 0.568
La 0.196 0.236 0.432
La 0.196 0.764 0.960
La 0.804 0.236 0.040
La 0.715 0.399 0.684
La 0.285 0.601 0.316
La 0.285 0.969 0.684
La 0.715 0.031 0.316
Zn 0.500 0.383 0.883
Zn 0.500 0.617 0.117
Zn 0.635 0.000 0.635
Zn 0.365 0.000 0.365
Sn 0.000 0.500 0.500
Sn 0.000 0.000 0.000

Values from the calculation:
Total moment   0.0 μB/cell
Symmetry   Immm, No. 71
Formation enthalpy at 0 K   -0.2910 eV/atom

---

Entry 19:
A plane-wave DFT calculation with PBE was carried out for crystalline LaZn2Sn at its relaxed geometry.

Unit cell a=4.363 b=4.363 c=10.360 alpha=90.00 beta=90.00 gamma=90.00
Fractional coordinates of all 8 atoms:
La 0.500 0.000 0.226
La 0.000 0.500 0.774
Zn 0.500 0.000 0.936
Zn 0.000 0.500 0.064
Zn 0.000 0.000 0.500
Zn 0.500 0.500 0.500
Sn 0.500 0.000 0.665
Sn 0.000 0.500 0.335

Values from the calculation:
Total moment   0.0 μB/cell
Symmetry   P4/nmm, No. 129
Formation enthalpy at 0 K   -0.2994 eV/atom

---

Entry 20:
A plane-wave DFT calculation with PBE was carried out for crystalline La2Zn5Sn at its relaxed geometry.

Unit cell a=8.692 b=8.692 c=9.146 alpha=90.00 beta=90.00 gamma=149.45
Fractional coordinates of all 16 atoms:
La 0.208 0.792 0.250
La 0.792 0.208 0.750
La 0.000 0.000 0.500
La 0.000 0.000 0.000
Zn 0.816 0.184 0.392
Zn 0.184 0.816 0.608
Zn 0.816 0.184 0.108
Zn 0.184 0.816 0.892
Zn 0.657 0.343 0.486
Zn 0.343 0.657 0.514
Zn 0.657 0.343 0.014
Zn 0.343 0.657 0.986
Zn 0.398 0.602 0.250
Zn 0.602 0.398 0.750
Sn 0.557 0.443 0.250
Sn 0.443 0.557 0.750

Values from the calculation:
Total moment   0.0 μB/cell
Symmetry   Cmcm, No. 63
Formation enthalpy at 0 K   -0.4617 eV/atom

---

Entry 21:
A plane-wave DFT calculation with PBE was carried out for crystalline La2Zn2Sn at its relaxed geometry.

Unit cell a=7.384 b=7.384 c=4.751 alpha=90.00 beta=90.00 gamma=90.00
Fractional coordinates of all 10 atoms:
Zn 0.378 0.878 0.000
Zn 0.878 0.622 0.000
Zn 0.622 0.122 0.000
Zn 0.122 0.378 0.000
Sn 0.000 0.000 0.000
Sn 0.500 0.500 0.000
La 0.176 0.676 0.500
La 0.676 0.824 0.500
La 0.824 0.324 0.500
La 0.324 0.176 0.500

Values from the calculation:
Total moment   0.0 μB/cell
Symmetry   P4/mbm, No. 127
Formation enthalpy at 0 K   -0.5033 eV/atom

---

Entry 22:
A plane-wave DFT calculation with PBE was carried out for crystalline La3ZnSn2 at its relaxed geometry.

Unit cell a=4.639 b=12.403 c=12.871 alpha=90.00 beta=90.00 gamma=90.00
Each line ends with the local moment (μB).
Fractional coordinates of all 24 atoms:
La 0.250 0.381 0.053  0.14
La 0.750 0.619 0.947  0.14
La 0.750 0.881 0.447  0.14
La 0.250 0.119 0.553  0.14
La 0.250 0.702 0.208  0.10
La 0.750 0.298 0.792  0.10
La 0.750 0.202 0.292  0.10
La 0.250 0.798 0.708  0.10
La 0.250 0.435 0.375  0.08
La 0.750 0.565 0.625  0.08
La 0.750 0.935 0.125  0.08
La 0.250 0.065 0.875  0.08
Zn 0.250 0.148 0.142  0.01
Zn 0.750 0.852 0.858  0.01
Zn 0.750 0.648 0.358  0.01
Zn 0.250 0.352 0.642  0.01
Sn 0.250 0.683 0.477  -0.01
Sn 0.750 0.317 0.523  -0.01
Sn 0.750 0.183 0.023  -0.01
Sn 0.250 0.817 0.977  -0.01
Sn 0.250 0.998 0.304  -0.01
Sn 0.750 0.002 0.696  -0.01
Sn 0.750 0.498 0.196  -0.01
Sn 0.250 0.502 0.804  -0.01

Values from the calculation:
Total moment   3.6 μB/cell
Symmetry   Pnma, No. 62
Formation enthalpy at 0 K   -0.6592 eV/atom

---

Entry 23:
A plane-wave DFT calculation with PBE was carried out for crystalline La3ZnSn at its relaxed geometry.

Unit cell a=5.626 b=5.626 c=5.626 alpha=90.00 beta=90.00 gamma=90.00
Fractional coordinates of all 5 atoms:
Zn 0.000 0.000 0.000
Sn 0.500 0.500 0.500
La 0.000 0.500 0.000
La 0.000 0.000 0.500
La 0.500 0.000 0.000

Values from the calculation:
Total moment   0.0 μB/cell
Symmetry   Pm-3m, No. 221
Formation enthalpy at 0 K   -0.1010 eV/atom
E above lowest polymorph   327 meV/atom